VASP calculation (PBE-GGA) on an optimized crystal structure of Ac3PaV2N6.

Geometry as POSCAR:
```
Ac3PaV2N6
1.0
5.9768 0.0000 0.0000
-2.9884 5.1761 0.0000
0.0000 0.0000 7.1320
Ac Pa V N
3 1 2 6
Cartesian
0.0000 0.0000 0.0000 Ac
0.0000 3.4507 4.9706 Ac
2.9884 1.7254 2.1613 Ac
0.0000 0.0000 3.5660 Pa
0.0000 3.4507 1.4964 V
2.9884 1.7254 5.6355 V
0.0000 1.7555 2.1399 N
-1.4681 4.2983 2.1399 N
1.5203 0.8778 4.9921 N
1.4681 4.2983 2.1399 N
4.4565 0.8778 4.9921 N
2.9884 3.4206 4.9921 N
```

Output
volume = 18.39 A^3/atom
E = -8.65 eV/atom
formation energy (no corrections) = -1147.3 meV per atom

---

VASP calculation (PBE-GGA) on an optimized crystal structure of AcPa4W3N12.

Geometry as POSCAR:
```
AcPa4W3N12
1.0
-4.1583 4.1583 4.1583
4.1583 -4.1583 4.1583
4.1583 4.1583 -4.1583
Ac Pa W N
1 4 3 12
Cartesian
0.0000 0.0000 0.0000 Ac
2.0792 2.0792 -2.0792 Pa
2.0792 -2.0792 2.0792 Pa
-2.0792 2.0792 2.0792 Pa
2.0792 2.0792 2.0792 Pa
4.1583 0.0000 0.0000 W
0.0000 4.1583 0.0000 W
0.0000 0.0000 4.1583 W
2.6529 1.3210 0.0000 N
5.6637 1.3210 0.0000 N
4.1583 -1.5054 2.8374 N
2.8374 4.1583 -1.5054 N
1.3210 0.0000 2.6529 N
0.0000 2.6529 1.3210 N
4.1583 1.5054 2.8374 N
2.8374 4.1583 1.5054 N
1.3210 0.0000 5.6637 N
0.0000 5.6637 1.3210 N
-1.5054 2.8374 4.1583 N
1.5054 2.8374 4.1583 N
```

Output
volume = 14.38 A^3/atom
E = -9.88 eV/atom
formation energy (no corrections) = -832.5 meV per atom

---

VASP calculation (PBE-GGA) on an optimized crystal structure of AcYPaN3.

Geometry as POSCAR:
```
AcYPaN3
1.0
6.1472 0.0000 0.0000
0.0000 3.6106 0.0000
-2.0490 0.0000 9.1665
Ac Y Pa N
2 2 2 6
Cartesian
0.5297 0.9026 1.7380 Ac
3.5685 2.7079 7.4285 Ac
0.4752 0.9026 7.8865 Y
3.6230 2.7079 1.2800 Y
0.5131 2.7079 4.9891 Pa
3.5850 0.9026 4.1774 Pa
-0.9846 0.9026 5.8348 N
1.6093 2.7079 0.0149 N
2.1323 2.7079 3.3583 N
1.9658 0.9026 5.8082 N
2.4889 0.9026 9.1516 N
5.0827 2.7079 3.3317 N
```

Output
volume = 16.95 A^3/atom
E = -8.90 eV/atom
formation energy (no corrections) = -1397.4 meV per atom

---

VASP calculation (PBE-GGA) on an optimized crystal structure of AcY2PaN4.

Geometry as POSCAR:
```
AcY2PaN4
1.0
6.1473 0.0000 0.0000
0.0000 3.5832 0.0000
-2.1031 0.0000 5.9572
Ac Y Pa N
1 2 1 4
Cartesian
0.0000 0.0000 0.0000 Ac
2.0221 0.0000 2.9786 Y
3.0737 1.7916 0.0000 Y
-1.0516 1.7916 2.9786 Pa
-0.0037 0.0000 4.3334 N
0.9201 1.7916 1.7333 N
3.1241 1.7916 4.2238 N
4.0479 0.0000 1.6238 N
```

Output
volume = 16.40 A^3/atom
E = -8.94 eV/atom
formation energy (no corrections) = -1459.1 meV per atom

---

VASP calculation (PBE-GGA) on an optimized crystal structure of AcPa2ZnN5.

Geometry as POSCAR:
```
AcPa2ZnN5
1.0
-3.3334 3.3334 5.7746
3.3334 -3.3334 5.7746
3.3334 3.3334 -5.7746
Ac Pa Zn N
2 4 2 10
Cartesian
0.0000 0.0000 2.8873 Ac
0.0000 0.0000 8.6619 Ac
4.5089 1.1756 0.0000 Pa
1.1756 2.1578 0.0000 Pa
2.1578 1.1756 5.7746 Pa
-1.1756 2.1578 5.7746 Pa
3.3334 0.0000 2.8873 Zn
0.0000 3.3334 2.8873 Zn
0.0000 0.0000 0.0000 N
2.2998 1.0336 -1.4808 N
2.2998 -1.0336 4.2938 N
2.2998 1.0336 1.4808 N
2.2998 -1.0336 7.2554 N
0.0000 0.0000 5.7746 N
1.0336 4.3670 -1.4808 N
1.0336 2.2998 4.2938 N
1.0336 4.3670 1.4808 N
1.0336 2.2998 7.2554 N
```

Output
volume = 14.26 A^3/atom
E = -8.60 eV/atom
formation energy (no corrections) = -1262.1 meV per atom

---

VASP calculation (PBE-GGA) on an optimized crystal structure of AcPaZn2N4.

Geometry as POSCAR:
```
AcPaZn2N4
1.0
-2.8741 2.8741 3.6447
2.8741 -2.8741 3.6447
2.8741 2.8741 -3.6447
Ac Pa Zn N
1 1 2 4
Cartesian
0.0000 0.0000 0.0000 Ac
0.0000 0.0000 3.6447 Pa
2.8741 0.0000 1.8224 Zn
0.0000 2.8741 1.8224 Zn
1.2598 -1.2598 2.3561 N
1.6143 1.6143 1.2886 N
-1.2598 1.2598 2.3561 N
1.2598 1.2598 4.9334 N
```

Output
volume = 15.05 A^3/atom
E = -6.90 eV/atom
formation energy (no corrections) = -721.9 meV per atom

---

VASP calculation (PBE-GGA) on an optimized crystal structure of Ac4ZrPa3N8.

Geometry as POSCAR:
```
Ac4ZrPa3N8
1.0
3.5913 2.0734 6.1544
-3.5913 2.0734 6.1544
0.0000 -4.1469 6.1544
Ac Zr Pa N
4 1 3 8
Cartesian
0.0000 0.0000 0.0000 Ac
-1.7957 -1.0367 6.1544 Ac
-1.7957 1.0367 12.3088 Ac
0.0000 2.0734 6.1544 Ac
0.0000 0.0000 9.2316 Zr
-3.5913 0.0000 9.2316 Pa
-1.7957 1.0367 3.0772 Pa
1.7957 1.0367 3.0772 Pa
0.0000 0.0000 4.2259 N
-1.7872 -1.0319 10.3883 N
0.0000 -2.0637 8.0749 N
-1.7872 1.0319 8.0749 N
1.7872 -1.0319 10.3883 N
0.0000 2.0637 10.3883 N
1.7872 1.0319 8.0749 N
0.0000 0.0000 14.2373 N
```

Output
volume = 17.19 A^3/atom
E = -8.92 eV/atom
formation energy (no corrections) = -1413.8 meV per atom

---

VASP calculation (PBE-GGA) on an optimized crystal structure of AcZrPaN4.

Geometry as POSCAR:
```
AcZrPaN4
1.0
2.9689 -6.3288 0.0000
2.9689 6.3288 0.0000
0.0000 0.0000 6.0488
Ac Zr Pa N
2 2 2 8
Cartesian
2.9689 4.9898 4.5366 Ac
2.9689 -4.9898 1.5122 Ac
2.9689 3.2706 1.5122 Zr
2.9689 -3.2706 4.5366 Zr
2.9689 1.4793 4.5366 Pa
2.9689 -1.4793 1.5122 Pa
1.4845 3.1644 0.0000 N
1.4845 3.1644 3.0244 N
2.9689 5.3144 1.5122 N
2.9689 0.5390 1.5122 N
1.4845 -3.1644 0.0000 N
1.4845 -3.1644 3.0244 N
2.9689 -0.5390 4.5366 N
2.9689 -5.3144 4.5366 N
```

Output
volume = 16.24 A^3/atom
E = -9.09 eV/atom
formation energy (no corrections) = -1168.4 meV per atom

---

VASP calculation (PBE-GGA) on an optimized crystal structure of Ac2ZrPaN4.

Geometry as POSCAR:
```
Ac2ZrPaN4
1.0
6.0957 0.0000 0.0000
0.0000 3.5568 0.0000
-2.0198 0.0000 6.1554
Ac Zr Pa N
2 1 1 4
Cartesian
0.0000 0.0000 0.0000 Ac
3.0478 1.7784 0.0000 Ac
-1.0099 1.7784 3.0777 Zr
2.0379 0.0000 3.0777 Pa
0.0064 0.0000 4.2637 N
0.9902 1.7784 1.9120 N
3.0856 1.7784 4.2434 N
4.0695 0.0000 1.8917 N
```

Output
volume = 16.68 A^3/atom
E = -8.83 eV/atom
formation energy (no corrections) = -1386.9 meV per atom

---

VASP calculation (PBE-GGA) on an optimized crystal structure of AcZrPaN3.

Geometry as POSCAR:
```
AcZrPaN3
1.0
7.3078 0.0000 0.0000
0.0000 3.5054 0.0000
-0.3273 0.0000 8.7879
Ac Zr Pa N
2 2 2 6
Cartesian
0.7084 0.8764 2.9432 Ac
6.2721 2.6291 5.8447 Ac
0.9199 0.8764 8.3264 Zr
6.0607 2.6291 0.4615 Zr
2.6746 2.6291 5.7420 Pa
4.3060 0.8764 3.0458 Pa
0.8504 2.6291 0.8306 N
1.2153 0.8764 5.9969 N
2.8002 2.6291 3.5006 N
4.1804 0.8764 5.2873 N
5.7652 2.6291 2.7910 N
6.1301 0.8764 7.9573 N
```

Output
volume = 18.76 A^3/atom
E = -9.05 eV/atom
formation energy (no corrections) = -1195.8 meV per atom

---

VASP calculation (PBE-GGA) on an optimized crystal structure of Ac3Pb3N.

Geometry as POSCAR:
```
Ac3Pb3N
1.0
3.8759 -6.2842 0.0000
3.8759 6.2842 0.0000
-2.0914 0.0000 9.8050
Ac Pb N
6 6 2
Cartesian
0.5967 1.9828 7.4535 Ac
0.5045 0.0000 3.8794 Ac
0.5967 -1.9828 7.4535 Ac
5.0638 1.9828 2.3514 Ac
5.1560 0.0000 5.9255 Ac
5.0638 -1.9828 2.3514 Ac
3.8759 4.5938 0.0000 Pb
2.8303 2.7445 4.9025 Pb
2.5560 0.0000 0.9419 Pb
3.1045 0.0000 8.8631 Pb
2.8303 -2.7445 4.9025 Pb
3.8759 -4.5938 0.0000 Pb
-0.0733 0.0000 6.2922 N
5.7338 0.0000 3.5128 N
```

Output
volume = 34.12 A^3/atom
E = -5.25 eV/atom
formation energy (no corrections) = -712.0 meV per atom

---

VASP calculation (PBE-GGA) on an optimized crystal structure of Ac10Pb4N3.

Geometry as POSCAR:
```
Ac10Pb4N3
1.0
-2.6654 2.6654 19.3909
2.6654 -2.6654 19.3909
2.6654 2.6654 -19.3909
Ac Pb N
10 4 3
Cartesian
2.6654 0.0000 0.0000 Ac
0.0000 0.0000 2.6360 Ac
2.6654 0.0000 5.3240 Ac
0.0000 0.0000 8.1613 Ac
2.6654 0.0000 14.0669 Ac
0.0000 2.6654 0.0000 Ac
0.0000 2.6654 5.3240 Ac
0.0000 0.0000 30.6204 Ac
0.0000 2.6654 14.0669 Ac
0.0000 0.0000 36.1458 Ac
0.0000 0.0000 11.6662 Pb
0.0000 0.0000 16.7449 Pb
0.0000 0.0000 22.0369 Pb
0.0000 0.0000 27.1156 Pb
0.0000 0.0000 0.0000 N
0.0000 0.0000 5.5659 N
0.0000 0.0000 33.2158 N
```

Output
volume = 32.41 A^3/atom
E = -5.47 eV/atom
formation energy (no corrections) = -708.6 meV per atom

---

Q: Look up the volume of the eleventh one.
A: 34.12 A^3/atom